# 1
LaCdO | PBE | relaxed

```
6
Lattice="-2.419 2.214 -2.473 2.229 -1.184 -3.240 -5.048 -6.672 -1.036" Properties=species:S:1:pos:R:3 pbc="T T T"
La -0.741 -2.725 -3.419
La -4.497 -2.917 -3.329
Cd -3.603 -6.507 -4.006
Cd -1.635 0.865 -2.742
O -2.667 -2.563 -4.802
O -2.572 -3.079 -1.946
```

Properties
density of states at the Fermi level = 0.315 states/eV per atom
ΔE_f (raw) = -2.0555 eV/atom
energy relative to the lowest polymorph listed for this composition = 0.000 eV per atom



# 2
AgBrF2 | PBE | relaxed

```
8
Lattice="3.790 -0.215 0.302 -0.339 6.195 -0.158 0.467 1.557 8.322" Properties=species:S:1:pos:R:3 pbc="T T T"
Ag 1.056 5.991 4.502
Ag 3.060 2.847 4.812
Br 2.407 5.926 7.925
Br 1.700 2.917 1.388
F 3.262 4.747 3.775
F 1.587 1.713 3.654
F 0.848 4.089 5.543
F 2.872 0.931 5.814
```

Properties
density of states at the Fermi level = 0.541 states/eV per atom
ΔE_f (raw) = -0.8020 eV/atom
energy relative to the lowest polymorph listed for this composition = 0.000 eV per atom



# 3
PuPaSeO2 | PBE | relaxed

```
5
Lattice="-0.937 -0.414 3.736 3.202 -2.105 0.570 1.955 6.318 -0.817" Properties=species:S:1:pos:R:3 pbc="T T T"
Pu 3.350 2.374 3.113
Pa 0.914 1.498 0.396
Se 1.156 -1.220 2.163
O 1.040 2.265 2.521
O 3.110 1.420 0.938
```

Properties
density of states at the Fermi level = 1.593 states/eV per atom
ΔE_f (raw) = -2.6174 eV/atom